# FeH8Br2O4

A relaxed structure of FeH8Br2O4 (GGA+U, Alexandria via LeMat-Bulk).

Computed properties:
The total moment comes out at 4.00 μB/f.u. The space group is No. 14. The value obtained for the total energy is -4.72 eV/atom. As for the mass density: 2.45 g/cm³.

abc: 6.094 7.818 8.755
angles: 90.00 110.85 90.00
Atoms (fractional coordinates):
Fe (0.000, 0.000, 0.000)
Fe (0.000, 0.500, 0.500)
H (0.093, 0.074, 0.711)
H (0.093, 0.426, 0.211)
H (0.105, 0.069, 0.337)
H (0.105, 0.431, 0.837)
H (0.378, 0.699, 0.502)
H (0.378, 0.801, 0.002)
H (0.383, 0.689, 0.682)
H (0.383, 0.811, 0.182)
H (0.617, 0.189, 0.818)
H (0.617, 0.311, 0.318)
H (0.622, 0.199, 0.998)
H (0.622, 0.301, 0.498)
H (0.895, 0.569, 0.163)
H (0.895, 0.931, 0.663)
H (0.907, 0.574, 0.789)
H (0.907, 0.926, 0.289)
Br (0.305, 0.229, 0.574)
Br (0.305, 0.271, 0.074)
Br (0.695, 0.729, 0.926)
Br (0.695, 0.771, 0.426)
O (0.006, 0.503, 0.745)
O (0.006, 0.997, 0.245)
O (0.277, 0.679, 0.567)
O (0.277, 0.821, 0.067)
O (0.723, 0.179, 0.933)
O (0.723, 0.321, 0.433)
O (0.994, 0.003, 0.755)
O (0.994, 0.497, 0.255)